1.
# BeAu2Cl

A geometry-optimized BeAu2Cl structure (PBE, Alexandria via LeMat-Bulk).

ΔE to the lowest computed polymorph: 793.6 meV per atom
density: 10525 kg/m³
space-group type: Cmmm
ΔE_f (raw): 0.451 eV/atom

POSCAR file:
```
BeAu2Cl
1.0
2.738 -4.188 0.000
2.738 4.188 0.000
0.000 0.000 3.017
Be Au Cl
1 2 1
direct
0.000 0.000 0.000
0.000 0.500 0.500
0.500 0.000 0.500
0.500 0.500 0.000
```

2.
# BeAu2Cl

A geometry-optimized BeAu2Cl structure (PBE, Alexandria via LeMat-Bulk).

ΔE to the lowest computed polymorph: 157.0 meV per atom
density: 6903 kg/m³
space-group type: Imm2
ΔE_f (raw): -0.185 eV/atom

POSCAR file:
```
BeAu2Cl
1.0
-1.450 2.682 6.781
1.450 -2.682 6.781
1.450 2.682 -6.781
Be Au Cl
1 2 1
direct
0.000 0.000 0.000
0.388 0.388 0.000
0.866 0.366 0.500
0.102 0.602 0.500
```

3.
# BeAu2Cl

A geometry-optimized BeAu2Cl structure (PBE, Alexandria via LeMat-Bulk).

ΔE to the lowest computed polymorph: 276.1 meV per atom
density: 8517 kg/m³
space-group type: C2/m
ΔE_f (raw): -0.066 eV/atom

POSCAR file:
```
BeAu2Cl
1.0
3.318 -1.912 0.000
3.318 1.912 0.000
-2.169 0.000 6.737
Be Au Cl
1 2 1
direct
0.000 0.000 0.000
0.377 0.377 0.134
0.623 0.623 0.866
0.500 0.500 0.500
```

4.
# BeAuCl

A geometry-optimized BeAuCl structure (PBE, Alexandria via LeMat-Bulk).

ΔE to the lowest computed polymorph: 161.3 meV per atom
density: 6234 kg/m³
space-group type: Fmm2
ΔE_f (raw): -0.309 eV/atom

POSCAR file:
```
BeAuCl
1.0
0.000 3.263 6.641
1.484 0.000 6.641
1.484 3.263 0.000
Be Au Cl
1 1 1
direct
0.000 0.000 0.000
0.632 0.632 0.368
0.395 0.395 0.605
```

5.
# BeAu2Cl

A geometry-optimized BeAu2Cl structure (PBE, Alexandria via LeMat-Bulk).

ΔE to the lowest computed polymorph: 363.6 meV per atom
density: 10911 kg/m³
space-group type: R-3m
ΔE_f (raw): 0.021 eV/atom

POSCAR file:
```
BeAu2Cl
1.0
1.563 0.902 7.887
-1.563 0.902 7.887
0.000 -1.805 7.887
Be Au Cl
1 2 1
direct
0.000 0.000 0.000
0.265 0.265 0.265
0.735 0.735 0.735
0.500 0.500 0.500
```

6.
# BeAu2Cl

A geometry-optimized BeAu2Cl structure (PBE, Alexandria via LeMat-Bulk).

ΔE to the lowest computed polymorph: 364.9 meV per atom
density: 10299 kg/m³
space-group type: Cmmm
ΔE_f (raw): 0.023 eV/atom

POSCAR file:
```
BeAu2Cl
1.0
1.597 -2.846 0.000
1.597 2.846 0.000
0.000 0.000 7.775
Be Au Cl
1 2 1
direct
0.000 0.000 0.000
0.500 0.500 0.212
0.500 0.500 0.788
0.000 0.000 0.500
```